Crystalline SrHgC2O6 at its relaxed geometry, computed with PBE.

Lattice parameters (Å, degrees): 6.906 6.906 7.129 104.77 104.77 104.93
Fractional positions:
Sr 0.091 0.909 0.750
Sr 0.909 0.091 0.250
Hg 0.392 0.608 0.250
Hg 0.608 0.392 0.750
C 0.104 0.396 0.791
C 0.396 0.104 0.291
C 0.604 0.896 0.709
C 0.896 0.604 0.209
O 0.025 0.222 0.634
O 0.042 0.555 0.803
O 0.222 0.025 0.134
O 0.263 0.394 0.944
O 0.394 0.263 0.444
O 0.445 0.958 0.697
O 0.555 0.042 0.303
O 0.606 0.737 0.556
O 0.737 0.606 0.056
O 0.778 0.975 0.866
O 0.958 0.445 0.197
O 0.975 0.778 0.366

Values from the calculation:
space-group type = C2/c, No. 15
energy = -6.60 eV/atom
N(E_F) = 0.0000 states/eV/atom


Crystalline TePd2PtF at its relaxed geometry, computed with PBE.

Lattice parameters (Å, degrees): 5.101 5.101 4.907 90.00 90.00 90.00
Fractional positions:
Te 0.000 0.000 0.000
Pd 0.000 0.500 0.500
Pd 0.500 0.000 0.500
Pt 0.000 0.000 0.500
F 0.500 0.500 0.000

Values from the calculation:
space-group type = P4/mmm, No. 123
ΔE to the lowest computed polymorph = 2.15 eV/f.u.
energy = -3.73 eV/atom
N(E_F) = 1.8566 states/eV/atom


Crystalline LaZnSn at its relaxed geometry, computed with PBE.

Lattice parameters (Å, degrees): 4.602 4.602 12.953 90.00 90.00 120.00
Fractional positions:
La 0.000 0.000 0.000
La 0.000 0.000 0.331
La 0.000 0.000 0.669
Zn 0.333 0.667 0.128
Zn 0.333 0.667 0.872
Zn 0.667 0.333 0.500
Sn 0.333 0.667 0.500
Sn 0.667 0.333 0.177
Sn 0.667 0.333 0.823

Values from the calculation:
space-group type = P-6m2, No. 187
energy = -4.05 eV/atom
ΔH_f (0 K) = -0.65 eV per atom
N(E_F) = 0.4612 states/eV/atom


Crystalline Pm6SmS8 at its relaxed geometry, computed with PBE.

Lattice parameters (Å, degrees): 8.049 8.049 8.049 60.00 60.00 60.00
Fractional positions:
Pm 0.000 0.000 0.500
Pm 0.000 0.500 0.000
Pm 0.000 0.500 0.500
Pm 0.500 0.000 0.000
Pm 0.500 0.000 0.500
Pm 0.500 0.500 0.000
Sm 0.000 0.000 0.000
S 0.249 0.249 0.751
S 0.249 0.751 0.249
S 0.249 0.751 0.751
S 0.250 0.250 0.250
S 0.750 0.750 0.750
S 0.751 0.249 0.249
S 0.751 0.249 0.751
S 0.751 0.751 0.249

Values from the calculation:
space-group type = Fm-3m, No. 225
energy = -6.47 eV/atom
N(E_F) = 0.4565 states/eV/atom


> Among the records above, which one has the lowest energy?

SrHgC2O6